Compound: FeGeBi3
Source: Alexandria via LeMat-Bulk
Functional: PBE
Structure: relaxed

## Properties
- E_form: 109.75 kJ per mole of atoms
- N(E_F): 1.408 states/eV/atom
- Crystal system: cubic
- Distance to the lowest polymorph of the same formula: 13.24 kcal/mol of atoms
- DFT total energy: -3.81 eV per atom

```
data_FeGeBi3
_chemical_formula_sum 'Fe1 Ge1 Bi3'
_symmetry_space_group_name_H-M 'P m -3 m'
_symmetry_Int_Tables_number 221
_symmetry_space_group_name_Hall '-P 4 2 3'
_cell_length_a 5.489
_cell_length_b 5.489
_cell_length_c 5.489
_cell_angle_alpha 90.00
_cell_angle_beta 90.00
_cell_angle_gamma 90.00
loop_
_atom_site_label
_atom_site_fract_x
_atom_site_fract_y
_atom_site_fract_z
Fe1 0.000 0.000 0.000
Ge1 0.500 0.500 0.500
Bi1 0.000 0.500 0.500
```

***

Compound: Fe3GeBi
Source: Alexandria via LeMat-Bulk
Functional: PBE
Structure: relaxed

## Properties
- E_form: 67.31 kJ per mole of atoms
- N(E_F): 0.540 states/eV/atom
- Crystal system: cubic
- Distance to the lowest polymorph of the same formula: 0.00 kcal/mol of atoms
- DFT total energy: -6.08 eV per atom

```
data_Fe3GeBi
_chemical_formula_sum 'Fe3 Ge1 Bi1'
_symmetry_space_group_name_H-M 'P m -3 m'
_symmetry_Int_Tables_number 221
_symmetry_space_group_name_Hall '-P 4 2 3'
_cell_length_a 4.470
_cell_length_b 4.470
_cell_length_c 4.470
_cell_angle_alpha 90.00
_cell_angle_beta 90.00
_cell_angle_gamma 90.00
loop_
_atom_site_label
_atom_site_fract_x
_atom_site_fract_y
_atom_site_fract_z
Fe1 0.000 0.000 0.500
Ge1 0.000 0.000 0.000
Bi1 0.500 0.500 0.500
```

***

Compound: FeGe3Bi
Source: Alexandria via LeMat-Bulk
Functional: PBE
Structure: relaxed

## Properties
- E_form: 22.78 kJ per mole of atoms
- N(E_F): 0.810 states/eV/atom
- Crystal system: cubic
- Distance to the lowest polymorph of the same formula: 0.00 kcal/mol of atoms
- DFT total energy: -5.00 eV per atom

```
data_FeGe3Bi
_chemical_formula_sum 'Fe1 Ge3 Bi1'
_symmetry_space_group_name_H-M 'P m -3 m'
_symmetry_Int_Tables_number 221
_symmetry_space_group_name_Hall '-P 4 2 3'
_cell_length_a 4.709
_cell_length_b 4.709
_cell_length_c 4.709
_cell_angle_alpha 90.00
_cell_angle_beta 90.00
_cell_angle_gamma 90.00
loop_
_atom_site_label
_atom_site_fract_x
_atom_site_fract_y
_atom_site_fract_z
Fe1 0.000 0.000 0.000
Ge1 0.000 0.000 0.500
Bi1 0.500 0.500 0.500
```

***

E_form of number 2 (Fe3GeBi)? 67.31 kJ per mole of atoms

***

The highest DFT total energy belongs to which entry? FeGeBi3

***

Which formula does entry 2 have? Fe3GeBi